A relaxed structure of Tb4InGaO. Source: Alexandria, functional PBE.

Computed properties:
**Spin magnetization**: 0.00 Bohr magnetons per cell
**Energy relative to the elements, uncorrected**: -108.3 kJ/mol of atoms

Cell lengths 8.762, 8.762, 6.534 Å; angles 90.00, 90.00, 136.33 degrees
Fractional coordinates of all 14 atoms:
Tb (0.000, 0.500, 0.000)
Tb (0.000, 0.500, 0.500)
Tb (0.067, 0.933, 0.750)
Tb (0.417, 0.583, 0.750)
Tb (0.500, 0.000, 0.000)
Tb (0.500, 0.000, 0.500)
Tb (0.583, 0.417, 0.250)
Tb (0.933, 0.067, 0.250)
In (0.391, 0.609, 0.250)
In (0.609, 0.391, 0.750)
Ga (0.118, 0.882, 0.250)
Ga (0.882, 0.118, 0.750)
O (0.263, 0.737, 0.750)
O (0.737, 0.263, 0.250)